Compound: Nd2Ga4NiSn2
Source: the Alexandria database
Functional: PBE
Structure: optimized geometry

a b c (Å): 6.4749 6.4749 6.4749
angles (deg): 119.40 119.40 91.04
Positions (direct):
Nd 0.2500 0.7500 0.5000
Nd 0.7500 0.2500 0.5000
Ga 0.2320 0.2320 0.4639
Ga 0.2320 0.7680 0.0000
Ga 0.7680 0.2320 0.0000
Ga 0.7680 0.7680 0.5361
Ni 0.5000 0.5000 0.0000
Sn 0.2181 0.2181 0.0000
Sn 0.7819 0.7819 0.0000

Summary:
energy of formation from the pure elements = -0.48 eV/atom
calculated total energy = -4.4162 eV per atom

Compound: TbNdGa2Ni2
Source: the Alexandria database
Functional: PBE
Structure: optimized geometry

a b c (Å): 4.3183 4.3183 7.2455
angles (deg): 90.00 90.00 120.00
Positions (direct):
Tb 0.0000 0.0000 0.0000
Nd 0.0000 0.0000 0.5000
Ga 0.3333 0.6667 0.7647
Ga 0.6667 0.3333 0.2353
Ni 0.3333 0.6667 0.2325
Ni 0.6667 0.3333 0.7675

Summary:
energy of formation from the pure elements = -0.57 eV/atom
calculated total energy = -5.0693 eV per atom

Compound: Nd2Zn4Ga3Ni
Source: the Alexandria database
Functional: PBE
Structure: optimized geometry

a b c (Å): 4.2157 4.2157 10.5450
angles (deg): 90.00 90.00 90.00
Positions (direct):
Nd 0.0000 0.5000 0.2422
Nd 0.5000 0.0000 0.7578
Zn 0.0000 0.0000 0.5000
Zn 0.0000 0.5000 0.8735
Zn 0.5000 0.0000 0.1265
Zn 0.5000 0.5000 0.5000
Ga 0.0000 0.0000 0.0000
Ga 0.0000 0.5000 0.6396
Ga 0.5000 0.0000 0.3604
Ni 0.5000 0.5000 0.0000

Summary:
energy of formation from the pure elements = -0.42 eV/atom
calculated total energy = -3.3669 eV per atom